1.
Computed, not measured: a relaxed structure of GeMoN3 at the PBE level of DFT.

POSCAR file:
```
GeMoN3
1.0
3.7301 0.0000 0.0000
0.0000 3.7301 0.0000
0.0000 0.0000 3.7301
Mo Ge N
1 1 3
direct
0.5000 0.5000 0.5000
0.0000 0.0000 0.0000
0.0000 0.5000 0.0000
0.0000 0.0000 0.5000
0.5000 0.0000 0.0000
```

## Properties
Symmetry: Pm-3m
Uncorrected formation energy, eV/atom: 1.309
Mass density, g cm⁻³: 6.7
Spin magnetization, μB per atom: 0.23

2.
Computed, not measured: a relaxed structure of La2ScMoH at the PBE level of DFT.

POSCAR file:
```
La2ScMoH
1.0
-3.0199 -3.7606 -2.1765
-0.0338 -1.9281 3.3782
-4.3447 2.6416 1.4642
Sc H Mo La
1 1 1 2
direct
0.5000 0.5000 0.5000
0.0000 0.0000 0.0000
0.0000 0.5000 0.0000
0.0000 0.0000 0.5000
0.5000 0.0000 0.0000
```

## Properties
Symmetry: P4/mmm
Mass density, g cm⁻³: 6.4
Spin magnetization, μB per atom: 0.12
Raw total energy, eV/atom: -5.91

3.
Computed, not measured: a relaxed structure of SrLaMgAg at the PBE level of DFT.

POSCAR file:
```
SrLaMgAg
1.0
5.6020 0.0000 0.0000
2.8010 4.8515 0.0000
2.8010 1.6172 4.5740
Sr Mg Ag La
1 1 1 1
direct
0.7500 0.7500 0.7500
0.0000 0.0000 0.0000
0.5000 0.5000 0.5000
0.2500 0.2500 0.2500
```

## Properties
Formation energy, eV/atom: -0.111
Symmetry: F-43m
Mass density, g cm⁻³: 4.8
Spin magnetization, μB per atom: 0.00

4.
Computed, not measured: a relaxed structure of Rb2PbClF6 at the PBE level of DFT.

POSCAR file:
```
Rb2PbClF6
1.0
6.7543 0.0000 0.0000
0.0000 6.7543 0.0000
3.3772 3.3772 5.0323
Pb F Rb Cl
1 6 2 1
direct
0.0000 0.0000 0.0000
0.2095 0.2095 0.5809
0.7905 0.7905 0.4191
0.2210 0.2210 0.0000
0.7790 0.7790 0.0000
0.7790 0.2210 0.0000
0.2210 0.7790 0.0000
0.7500 0.2500 0.5000
0.2500 0.7500 0.5000
0.5000 0.5000 0.0000
```

## Properties
Symmetry: I4/mmm
Uncorrected formation energy, eV/atom: -1.976
Mass density, g cm⁻³: 3.8
Spin magnetization, μB per atom: 0.10
Energy above the lowest structure with this stoichiometry, meV/atom: 99

5.
Computed, not measured: a relaxed structure of Sc2TiTlCd at the PBE level of DFT.

POSCAR file:
```
Sc2TiTlCd
1.0
4.9261 0.0000 0.0000
0.0000 5.3824 0.0000
0.0000 0.0000 4.9261
Sc Tl Ti Cd
2 1 1 1
direct
0.0000 0.0000 0.5000
0.5000 0.0000 0.0000
0.0000 0.5000 0.0000
0.0000 0.0000 0.0000
0.5000 0.5000 0.5000
```

## Properties
Formation energy, eV/atom: 0.508
Symmetry: P4/mmm
Mass density, g cm⁻³: 5.8
Spin magnetization, μB per atom: 0.00

6.
Computed, not measured: a relaxed structure of Cs3La2HoTe6 at the PBE level of DFT.

POSCAR file:
```
Cs3La2HoTe6
1.0
-5.6910 3.3938 4.7111
1.4519 -7.9845 0.4903
7.5401 3.0338 4.5818
Cs La Ho Te
3 2 1 6
direct
0.1694 0.8306 0.5000
0.8306 0.1694 0.5000
0.5000 0.5000 0.5000
0.3336 0.6664 0.0000
0.6664 0.3336 0.0000
0.0000 0.0000 0.0000
0.9357 0.6141 0.8070
0.7435 0.7435 0.1942
0.0643 0.3859 0.1930
0.6141 0.9357 0.8070
0.2565 0.2565 0.8058
0.3859 0.0643 0.1930
```

## Properties
Symmetry: C2/m
Uncorrected formation energy, eV/atom: -1.456
Mass density, g cm⁻³: 5.2
Spin magnetization, μB per atom: 0.00

7.
Computed, not measured: a relaxed structure of CuTc4Mo at the PBE level of DFT.

POSCAR file:
```
CuTc4Mo
1.0
-3.4227 -3.7416 0.1145
-0.0046 -3.3164 3.8378
-3.7410 0.0889 3.4242
Cu Tc Mo
1 4 1
direct
0.2500 0.2500 0.2500
0.6241 0.6241 0.1278
0.6241 0.1278 0.6241
0.6241 0.6241 0.6241
0.1278 0.6241 0.6241
0.0000 0.0000 0.0000
```

## Properties
Formation energy, eV/atom: 0.346
Symmetry: F-43m
Mass density, g cm⁻³: 9.9
Spin magnetization, μB per atom: 0.00

8.
Computed, not measured: a relaxed structure of LaFeSeBr2 at the PBE level of DFT.

POSCAR file:
```
LaFeSeBr2
1.0
-3.1517 -4.7708 1.0802
4.4351 -2.2449 3.0250
-2.0673 2.4664 4.8613
Fe Se Br La
1 1 2 1
direct
0.5000 0.5000 0.5000
0.0000 0.0000 0.5000
0.0000 0.5000 0.0000
0.5000 0.0000 0.0000
0.0000 0.0000 0.0000
```

## Properties
Symmetry: P4/mmm
Uncorrected formation energy, eV/atom: -0.384
Mass density, g cm⁻³: 3.6
Spin magnetization, μB per atom: 0.86

9.
Computed, not measured: a relaxed structure of DyY6Sc3 at the PBE level of DFT.

POSCAR file:
```
DyY6Sc3
1.0
6.2237 0.0000 0.0000
0.0000 10.5364 -1.7640
0.0000 -4.0707 9.8771
Dy Y Sc
2 12 6
direct
0.1929 0.2108 0.7892
0.6929 0.7892 0.2108
0.0353 0.7041 0.6327
0.5353 0.6327 0.7041
0.3574 0.5582 0.9628
0.8574 0.9628 0.5582
0.3588 0.9536 0.0464
0.6759 0.3042 0.6958
0.1759 0.6958 0.3042
0.8588 0.0464 0.9536
0.3574 0.0372 0.4418
0.8574 0.4418 0.0372
0.0353 0.3673 0.2959
0.5353 0.2959 0.3673
0.4249 0.9248 0.6946
0.9249 0.6946 0.9248
0.1226 0.3855 0.6145
0.6226 0.6145 0.3855
0.9249 0.0752 0.3054
0.4249 0.3054 0.0752
```

## Properties
Formation energy, eV/atom: 0.164
Symmetry: Cmc2_1
Mass density, g cm⁻³: 4.6
Spin magnetization, μB per atom: 0.00
Energy above the lowest structure with this stoichiometry, meV/atom: 38

10.
Computed, not measured: a relaxed structure of ScTa2Mo at the PBE level of DFT.

POSCAR file:
```
ScTa2Mo
1.0
3.2824 0.0000 0.0000
0.0000 4.6974 0.0000
0.0000 0.0000 4.6974
Mo Sc Ta
1 1 2
direct
0.5000 0.5000 0.0000
0.5000 0.0000 0.5000
0.0000 0.0000 0.0000
0.0000 0.5000 0.5000
```

## Properties
Formation energy, eV/atom: 0.158
Symmetry: P4/mmm
Mass density, g cm⁻³: 11.5
Spin magnetization, μB per atom: 0.00
Energy above the lowest structure with this stoichiometry, meV/atom: 101

11.
Computed, not measured: a relaxed structure of MgTlNiPd at the PBE level of DFT.

POSCAR file:
```
MgTlNiPd
1.0
-3.8638 1.9044 -1.4691
-1.5422 -0.9171 -4.1827
-3.7312 -2.5494 -0.5415
Ni Tl Mg Pd
1 1 1 1
direct
0.2500 0.2500 0.2500
0.5000 0.5000 0.5000
0.0000 0.0000 0.0000
0.7500 0.7500 0.7500
```

## Properties
Formation energy, eV/atom: -0.188
Symmetry: F-43m
Mass density, g cm⁻³: 9.8
Spin magnetization, μB per atom: 0.00

12.
Computed, not measured: a relaxed structure of La2Pr4As3N2 at the PBE level of DFT.

POSCAR file:
```
La2Pr4As3N2
1.0
-3.0125 -2.6315 -2.6082
2.7044 0.7359 -3.8662
6.8002 -9.3294 5.9299
La Pr As N
2 4 3 2
direct
0.3045 0.3045 0.6089
0.6955 0.6955 0.3911
0.4211 0.9211 0.8421
0.9211 0.4211 0.8421
0.0789 0.5789 0.1579
0.5789 0.0789 0.1579
0.0000 0.0000 0.0000
0.1749 0.1749 0.3499
0.8251 0.8251 0.6501
0.3939 0.3939 0.7878
0.6061 0.6061 0.2122
```

## Properties
Symmetry: I4/mmm
Uncorrected formation energy, eV/atom: -1.245
Mass density, g cm⁻³: 6.4
Spin magnetization, μB per atom: 0.00

13.
Computed, not measured: a relaxed structure of Sr2Sn3Pd at the PBE level of DFT.

POSCAR file:
```
Sr2Sn3Pd
1.0
-4.4146 -1.1282 2.1354
0.4341 -1.4277 6.0721
-2.8953 5.0502 2.6117
Sr Sn Pd
2 3 1
direct
0.5450 0.2007 0.7093
0.4384 0.8119 0.3113
0.8633 0.5976 0.6759
0.8195 0.2485 0.1126
0.1601 0.7535 0.9263
0.1738 0.3878 0.2646
```

## Properties
Formation energy, eV/atom: -0.636
Symmetry: Cm
Mass density, g cm⁻³: 6.3
Spin magnetization, μB per atom: 0.00
Energy above the lowest structure with this stoichiometry, meV/atom: 0

14.
Computed, not measured: a relaxed structure of PdRuF2 at the PBE level of DFT.

POSCAR file:
```
PdRuF2
1.0
4.7376 -4.1905 4.7428
6.1406 -1.7552 4.6596
4.0213 -2.0955 6.4759
Ru Pd F
1 1 2
direct
0.5000 0.5000 0.5000
0.0000 0.0000 0.0000
0.9092 0.9092 0.9092
0.0908 0.0908 0.0908
```

## Properties
Symmetry: R-3m
Uncorrected formation energy, eV/atom: -0.440
Mass density, g cm⁻³: 7.7
Spin magnetization, μB per atom: 0.60
Energy above the lowest structure with this stoichiometry, meV/atom: 129

15.
Computed, not measured: a relaxed structure of NbCr2AsW at the PBE level of DFT.

POSCAR file:
```
NbCr2AsW
1.0
4.3360 0.0000 0.0000
0.0000 4.7799 0.0000
0.0000 0.0000 4.3360
Cr Nb As W
2 1 1 1
direct
0.0000 0.0000 0.5000
0.5000 0.0000 0.0000
0.0000 0.5000 0.0000
0.0000 0.0000 0.0000
0.5000 0.5000 0.5000
```

## Properties
Formation energy, eV/atom: 1.095
Symmetry: P4/mmm
Mass density, g cm⁻³: 8.4
Spin magnetization, μB per atom: 0.75

16.
Computed, not measured: a relaxed structure of In2ICl at the PBE level of DFT.

POSCAR file:
```
In2ICl
1.0
6.9809 0.0000 0.0000
0.0000 6.9267 0.1232
0.0000 -0.7888 13.1235
In I Cl
8 4 4
direct
0.7403 0.9874 0.8942
0.2597 0.0126 0.1058
0.7403 0.5126 0.6058
0.2597 0.4874 0.3942
0.7773 0.4933 0.1432
0.2227 0.5067 0.8568
0.7773 0.0067 0.3568
0.2227 0.9933 0.6432
0.2533 0.9848 0.3764
0.7467 0.0152 0.6236
0.2533 0.5152 0.1236
0.7467 0.4848 0.8764
0.1582 0.5659 0.6233
0.8418 0.4341 0.3767
0.1582 0.9341 0.8767
0.8418 0.0659 0.1233
```

## Properties
Symmetry: P2/c
Uncorrected formation energy, eV/atom: -0.614
Mass density, g cm⁻³: 4.1
Spin magnetization, μB per atom: 0.00
Energy above the lowest structure with this stoichiometry, meV/atom: 4

17.
Computed, not measured: a relaxed structure of LaP2Os at the PBE level of DFT.

POSCAR file:
```
LaP2Os
1.0
0.0000 3.2918 3.2918
3.2918 0.0000 3.2918
3.2918 3.2918 0.0000
P Os La
2 1 1
direct
0.2500 0.2500 0.2500
0.7500 0.7500 0.7500
0.5000 0.5000 0.5000
0.0000 0.0000 0.0000
```

## Properties
Formation energy, eV/atom: -0.167
Symmetry: Fm-3m
Mass density, g cm⁻³: 9.1
Spin magnetization, μB per atom: 0.00
Energy above the lowest structure with this stoichiometry, meV/atom: 709

18.
Computed, not measured: a relaxed structure of La4AgAs at the PBE level of DFT.

POSCAR file:
```
La4AgAs
1.0
0.0000 4.4939 4.4939
4.4939 0.0000 4.4939
4.4939 4.4939 0.0000
La Ag As
4 1 1
direct
0.8806 0.3731 0.3731
0.3731 0.3731 0.8806
0.3731 0.8806 0.3731
0.3731 0.3731 0.3731
0.7500 0.7500 0.7500
0.0000 0.0000 0.0000
```

## Properties
Formation energy, eV/atom: 0.200
Symmetry: F-43m
Mass density, g cm⁻³: 6.8
Spin magnetization, μB per atom: 0.00

19.
Computed, not measured: a relaxed structure of Cd2SbBr at the PBE level of DFT.

POSCAR file:
```
Cd2SbBr
1.0
6.3422 0.0291 0.0341
2.6340 5.7694 -0.0341
-3.5251 -4.3899 2.9201
Sb Br Cd
1 1 2
direct
0.5215 0.5215 0.0000
0.2227 0.7227 0.5000
0.9944 0.9944 0.0000
0.7614 0.2614 0.5000
```

## Properties
Symmetry: Imm2
Uncorrected formation energy, eV/atom: -0.030
Mass density, g cm⁻³: 6.7
Spin magnetization, μB per atom: 0.00
Energy above the lowest structure with this stoichiometry, meV/atom: 295

20.
Computed, not measured: a relaxed structure of Er3CdPd6 at the PBE level of DFT.

POSCAR file:
```
Er3CdPd6
1.0
-1.4312 -2.9483 3.8829
-0.0833 -7.1675 -5.4731
8.3030 0.5496 3.4778
Er Cd Pd
6 2 12
direct
0.4845 0.9133 0.7106
0.9845 0.7106 0.9133
0.1005 0.3832 0.6168
0.6005 0.6168 0.3832
0.9845 0.0867 0.2894
0.4845 0.2894 0.0867
0.0576 0.1724 0.8276
0.5576 0.8276 0.1724
0.0832 0.6883 0.5823
0.5832 0.5823 0.6883
0.4165 0.5410 0.9659
0.9165 0.9659 0.5410
0.2785 0.9873 0.0127
0.5801 0.2652 0.7348
0.0801 0.7348 0.2652
0.7785 0.0127 0.9873
0.4165 0.0341 0.4590
0.9165 0.4590 0.0341
0.0832 0.4177 0.3117
0.5832 0.3117 0.4177
```

## Properties
Formation energy, eV/atom: -0.680
Symmetry: Cmc2_1
Mass density, g cm⁻³: 10.5
Spin magnetization, μB per atom: 0.00
Energy above the lowest structure with this stoichiometry, meV/atom: 131